No. 1
VASP calculation (PBE) on crystalline Pu2SnAs4 at its relaxed geometry.

The value obtained for the energy is -7.889 eV per atom. The total magnetization comes out at 10.256 μB per formula unit. Its energy relative to the elements is -0.5655 eV per atom.

The space group is P-4m2 (No. 115) and the conventional cell measures 3.963, 3.963 and 10.499 Å, with angles of 90.00, 90.00 and 90.00 degrees. The asymmetric unit holds Pu at (0.000, 0.500, 0.217), Sn at (0.000, 0.000, 0.500), As at (0.000, 0.000, 0.000), As at (0.000, 0.500, 0.700) and As at (0.500, 0.500, 0.000).

***

No. 2
VASP calculation (PBE) on crystalline Pu3SnAs4 at its relaxed geometry.

The value obtained for the energy is -8.903 eV per atom. The total magnetization comes out at 14.547 μB per formula unit. Its energy relative to the elements is -0.7032 eV per atom.

The space group is Pm-3m (No. 221) and the conventional cell measures 5.871, 5.871 and 5.871 Å, with angles of 90.00, 90.00 and 90.00 degrees. The asymmetric unit holds Pu at (0.000, 0.000, 0.500), Sn at (0.500, 0.500, 0.500), As at (0.000, 0.000, 0.000) and As at (0.000, 0.500, 0.500).

***

No. 3
VASP calculation (PBE) on crystalline SrPuAs at its relaxed geometry.

The value obtained for the energy is -7.398 eV per atom. The calculation puts the energy above the most stable polymorph in this dataset at 0.0 kJ per mole of atoms. The total magnetization comes out at 6.361 μB per formula unit. Its energy relative to the elements is -0.5099 eV per atom.

The space group is P4/mmm (No. 123) and the conventional cell measures 3.809, 3.809 and 12.749 Å, with angles of 90.00, 90.00 and 90.00 degrees. The asymmetric unit holds Sr at (0.000, 0.000, 0.136), Pu at (0.500, 0.500, 0.388), As at (0.000, 0.000, 0.500) and As at (0.500, 0.500, 0.000).

***

No. 4
VASP calculation (PBE) on crystalline SrPuAs at its relaxed geometry.

The value obtained for the energy is -7.388 eV per atom. The calculation puts the energy above the most stable polymorph in this dataset at 0.9 kJ per mole of atoms. The total magnetization comes out at 6.006 μB per formula unit. Its energy relative to the elements is -0.5003 eV per atom.

The space group is P3m1 (No. 156) and the conventional cell measures 4.1812, 4.1812 and 7.1239 Å, with angles of 90.00, 90.00 and 120.00 degrees. The asymmetric unit holds Sr at (0.0000, 0.0000, 0.0000), Pu at (0.3333, 0.6667, 0.5068) and As at (0.6667, 0.3333, 0.7245).

***

No. 5
VASP calculation (PBE) on crystalline Sr3PuAs3 at its relaxed geometry.

The value obtained for the energy is -5.687 eV per atom. The total magnetization comes out at 5.000 μB per formula unit. Its energy relative to the elements is -0.9257 eV per atom.

The space group is C2/m (No. 12) and the conventional cell measures 8.789, 13.383 and 7.996 Å, with angles of 90.00, 94.61 and 90.00 degrees. The asymmetric unit holds Sr at (0.000, 0.169, 0.000), Sr at (0.000, 0.228, 0.500), Sr at (0.120, 0.500, 0.854), Pu at (0.220, 0.000, 0.617), As at (0.077, 0.000, 0.285) and As at (0.167, 0.335, 0.210).

***

No. 6
VASP calculation (PBE) on crystalline SrPuAs at its relaxed geometry.

The value obtained for the energy is -7.360 eV per atom. The calculation puts the energy above the most stable polymorph in this dataset at 3.7 kJ per mole of atoms. The total magnetization comes out at 6.978 μB per formula unit. Its energy relative to the elements is -0.4718 eV per atom.

The space group is F-43m (No. 216) and the conventional cell measures 7.234, 7.234 and 7.234 Å, with angles of 90.00, 90.00 and 90.00 degrees. The asymmetric unit holds Sr at (0.000, 0.000, 0.000), Pu at (0.000, 0.000, 0.500) and As at (0.250, 0.250, 0.250).

***

No. 7
VASP calculation (PBE) on crystalline Sr4PuTh3As8 at its relaxed geometry.

The value obtained for the energy is -6.295 eV per atom. The total magnetization comes out at 3.981 μB per formula unit. Its energy relative to the elements is -1.2632 eV per atom.

The space group is R-3m (No. 166, hexagonal axes) and the conventional cell measures 8.6990, 8.6990 and 21.5695 Å, with angles of 90.00, 90.00 and 120.00 degrees. The asymmetric unit holds Sr at (0.0000, 0.0000, 0.0000), Sr at (0.0000, 0.5000, 0.0000), Pu at (0.0000, 0.0000, 0.5000), Th at (0.0000, 0.5000, 0.5000), As at (0.0000, 0.0000, 0.2423) and As at (0.0049, 0.5025, 0.2410).

***

No. 8
VASP calculation (PBE) on crystalline Sr2PuUAs4 at its relaxed geometry.

The value obtained for the energy is -6.947 eV per atom. The total magnetization comes out at 3.575 μB per formula unit. Its energy relative to the elements is -0.9991 eV per atom.

The space group is P2/m (No. 10) and the conventional cell measures 7.415, 4.280 and 7.501 Å, with angles of 90.00, 109.26 and 90.00 degrees. The asymmetric unit holds Sr at (0.000, 0.000, 0.000), Sr at (0.500, 0.500, 0.000), Pu at (0.000, 0.500, 0.500), U at (0.500, 0.000, 0.500), As at (0.246, 0.000, 0.715) and As at (0.270, 0.500, 0.284).

***

No. 9
VASP calculation (PBE) on crystalline Sr3Pu2UAs6 at its relaxed geometry.

The value obtained for the energy is -7.097 eV per atom. The total magnetization comes out at 9.999 μB per formula unit. Its energy relative to the elements is -1.0228 eV per atom.

The space group is C2/m (No. 12) and the conventional cell measures 7.403, 12.822 and 7.489 Å, with angles of 90.00, 109.25 and 90.00 degrees. The asymmetric unit holds Sr at (0.000, 0.000, 0.000), Sr at (0.000, 0.331, 0.000), Pu at (0.000, 0.166, 0.500), U at (0.000, 0.500, 0.500), As at (0.233, 0.338, 0.714) and As at (0.248, 0.000, 0.714).

***

No. 10
VASP calculation (PBE) on crystalline Sr3PuU3As8 at its relaxed geometry.

The value obtained for the energy is -6.831 eV per atom. The total magnetization comes out at 8.026 μB per formula unit. Its energy relative to the elements is -0.8014 eV per atom.

The space group is R-3m (No. 166, hexagonal axes) and the conventional cell measures 8.3940, 8.3940 and 21.4212 Å, with angles of 90.00, 90.00 and 120.00 degrees. The asymmetric unit holds Sr at (0.0000, 0.5000, 0.0000), Pu at (0.0000, 0.0000, 0.5000), U at (0.0000, 0.5000, 0.5000), As at (0.0000, 0.0000, 0.2390) and As at (0.0104, 0.5052, 0.7634).

***

No. 11
VASP calculation (PBE) on crystalline SrPuU2As4 at its relaxed geometry.

The value obtained for the energy is -8.013 eV per atom. The total magnetization comes out at 9.914 μB per formula unit. Its energy relative to the elements is -0.8640 eV per atom.

The space group is I-4m2 (No. 119) and the conventional cell measures 5.914, 5.914 and 11.856 Å, with angles of 90.00, 90.00 and 90.00 degrees. The asymmetric unit holds Sr at (0.000, 0.000, 0.000), Pu at (0.000, 0.500, 0.750), U at (0.000, 0.000, 0.500), U at (0.000, 0.500, 0.250), As at (0.000, 0.000, 0.262) and As at (0.000, 0.500, 0.004).

***

No. 12
VASP calculation (PBE) on crystalline Sr2PuZrAs4 at its relaxed geometry.

The value obtained for the energy is -6.686 eV per atom. The total magnetization comes out at 4.097 μB per formula unit. Its energy relative to the elements is -1.0805 eV per atom.

The space group is P2/m (No. 10) and the conventional cell measures 7.200, 4.172 and 7.474 Å, with angles of 90.00, 108.61 and 90.00 degrees. The asymmetric unit holds Sr at (0.000, 0.000, 0.000), Sr at (0.500, 0.500, 0.000), Pu at (0.000, 0.500, 0.500), Zr at (0.500, 0.000, 0.500), As at (0.247, 0.000, 0.714) and As at (0.269, 0.500, 0.287).

***

No. 13
VASP calculation (PBE) on crystalline Pu3TaAs4 at its relaxed geometry.

The value obtained for the energy is -10.009 eV per atom. The total magnetization comes out at 5.000 μB per formula unit. Its energy relative to the elements is -0.8283 eV per atom.

The space group is Cmmm (No. 65) and the conventional cell measures 8.063, 11.304 and 4.001 Å, with angles of 90.00, 90.00 and 90.00 degrees. The asymmetric unit holds Pu at (0.000, 0.000, 0.000), Pu at (0.250, 0.250, 0.500), Ta at (0.000, 0.500, 0.000), As at (0.000, 0.262, 0.000) and As at (0.230, 0.500, 0.500).

***

No. 14
VASP calculation (PBE) on crystalline TbPuAs2 at its relaxed geometry.

The value obtained for the energy is -8.197 eV per atom. The calculation puts the energy above the most stable polymorph in this dataset at 14.4 kJ per mole of atoms. The total magnetization comes out at 4.990 μB per formula unit. Its energy relative to the elements is -1.1315 eV per atom.

The space group is R3m (No. 160, hexagonal axes) and the conventional cell measures 4.1135, 4.1135 and 20.9108 Å, with angles of 90.00, 90.00 and 120.00 degrees. The asymmetric unit holds Tb at (0.0000, 0.0000, 0.0000), Pu at (0.0000, 0.0000, 0.1718), As at (0.0000, 0.0000, 0.5837) and As at (0.0000, 0.0000, 0.7548).

***

No. 15
VASP calculation (PBE) on crystalline Tb3PuAs4 at its relaxed geometry.

The value obtained for the energy is -7.252 eV per atom. The calculation puts the energy above the most stable polymorph in this dataset at 0.2 kJ per mole of atoms. The total magnetization comes out at 4.936 μB per formula unit. Its energy relative to the elements is -1.3999 eV per atom.

The space group is Pm-3m (No. 221) and the conventional cell measures 5.848, 5.848 and 5.848 Å, with angles of 90.00, 90.00 and 90.00 degrees. The asymmetric unit holds Tb at (0.000, 0.000, 0.500), Pu at (0.500, 0.500, 0.500), As at (0.000, 0.000, 0.000) and As at (0.000, 0.500, 0.500).

***

No. 16
VASP calculation (PBE) on crystalline TbPuAs at its relaxed geometry.

The value obtained for the energy is -8.472 eV per atom. The total magnetization comes out at 5.314 μB per formula unit. Its energy relative to the elements is -0.6014 eV per atom.

The space group is P4/nmm (No. 129, origin choice 2) and the conventional cell measures 4.082, 4.082 and 10.460 Å, with angles of 90.00, 90.00 and 90.00 degrees. The asymmetric unit holds Tb at (0.250, 0.250, 0.107), Pu at (0.250, 0.250, 0.650) and As at (0.250, 0.250, 0.374).

***

No. 17
VASP calculation (PBE) on crystalline TbPu4As5 at its relaxed geometry.

The value obtained for the energy is -9.644 eV per atom. The total magnetization comes out at 19.935 μB per formula unit. Its energy relative to the elements is -1.1234 eV per atom.

The space group is C2/m (No. 12) and the conventional cell measures 13.708, 4.139 and 10.127 Å, with angles of 90.00, 119.48 and 90.00 degrees. The asymmetric unit holds Tb at (0.000, 0.000, 0.000), Pu at (0.099, 0.500, 0.399), Pu at (0.201, 0.000, 0.800), As at (0.000, 0.000, 0.500), As at (0.102, 0.500, 0.899) and As at (0.201, 0.000, 0.301).

***

No. 18
VASP calculation (PBE) on crystalline Tb4PuAs5 at its relaxed geometry.

The value obtained for the energy is -7.038 eV per atom. The total magnetization comes out at 4.955 μB per formula unit. Its energy relative to the elements is -1.4282 eV per atom.

The space group is I4/m (No. 87) and the conventional cell measures 9.254, 9.254 and 5.848 Å, with angles of 90.00, 90.00 and 90.00 degrees. The asymmetric unit holds Tb at (0.100, 0.301, 0.000), Pu at (0.000, 0.000, 0.500), As at (0.000, 0.000, 0.000) and As at (0.099, 0.298, 0.500).

***

No. 19
VASP calculation (PBE) on crystalline Tb3PuAs4 at its relaxed geometry.

The value obtained for the energy is -7.255 eV per atom. The calculation puts the energy above the most stable polymorph in this dataset at 0.0 kJ per mole of atoms. The total magnetization comes out at 4.934 μB per formula unit. Its energy relative to the elements is -1.4023 eV per atom.

The space group is Cmmm (No. 65) and the conventional cell measures 8.266, 11.688 and 4.144 Å, with angles of 90.00, 90.00 and 90.00 degrees. The asymmetric unit holds Tb at (0.000, 0.000, 0.000), Tb at (0.250, 0.250, 0.500), Pu at (0.000, 0.500, 0.000), As at (0.000, 0.251, 0.000) and As at (0.248, 0.500, 0.500).

***

No. 20
VASP calculation (PBE) on crystalline TbPuAs at its relaxed geometry.

The value obtained for the energy is -8.440 eV per atom. The total magnetization comes out at 6.414 μB per formula unit. Its energy relative to the elements is -0.5699 eV per atom.

The space group is I4mm (No. 107) and the conventional cell measures 3.791, 3.791 and 10.177 Å, with angles of 90.00, 90.00 and 90.00 degrees. The asymmetric unit holds Tb at (0.000, 0.000, 0.000), Pu at (0.000, 0.000, 0.709) and As at (0.000, 0.000, 0.364).

***

No. 21
VASP calculation (PBE) on crystalline TbPuAs at its relaxed geometry.

The value obtained for the energy is -8.302 eV per atom. The total magnetization comes out at 6.483 μB per formula unit. Its energy relative to the elements is -0.4316 eV per atom.

The space group is P3m1 (No. 156) and the conventional cell measures 4.7056, 4.7056 and 4.1080 Å, with angles of 90.00, 90.00 and 120.00 degrees. The asymmetric unit holds Tb at (0.0000, 0.0000, 0.0000), Pu at (0.6667, 0.3333, 0.5318) and As at (0.3333, 0.6667, 0.2135).

***

No. 22
VASP calculation (PBE) on crystalline Tb5Pu3As8 at its relaxed geometry.

The value obtained for the energy is -7.800 eV per atom. The total magnetization comes out at 14.764 μB per formula unit. Its energy relative to the elements is -1.3408 eV per atom.

The space group is R-3m (No. 166, hexagonal axes) and the conventional cell measures 8.2799, 8.2799 and 20.2061 Å, with angles of 90.00, 90.00 and 120.00 degrees. The asymmetric unit holds Tb at (0.0000, 0.0000, 0.0000), Tb at (0.0000, 0.0000, 0.5000), Tb at (0.0000, 0.5000, 0.0000), Pu at (0.0000, 0.5000, 0.5000), As at (0.0000, 0.0000, 0.2488) and As at (0.0016, 0.5008, 0.7508).

***

No. 23
VASP calculation (PBE) on crystalline TbPuAs2 at its relaxed geometry.

The value obtained for the energy is -8.346 eV per atom. The calculation puts the energy above the most stable polymorph in this dataset at 0.0 kJ per mole of atoms. The total magnetization comes out at 4.953 μB per formula unit. Its energy relative to the elements is -1.2805 eV per atom.

The space group is R-3m (No. 166, hexagonal axes) and the conventional cell measures 4.1429, 4.1429 and 20.1684 Å, with angles of 90.00, 90.00 and 120.00 degrees. The asymmetric unit holds Tb at (0.0000, 0.0000, 0.0000), Pu at (0.0000, 0.0000, 0.5000) and As at (0.0000, 0.0000, 0.2488).

***

No. 24
VASP calculation (PBE) on crystalline Tb3PuTh2As6 at its relaxed geometry.

The value obtained for the energy is -7.336 eV per atom. The total magnetization comes out at 5.518 μB per formula unit. Its energy relative to the elements is -1.4225 eV per atom.

The space group is C2/m (No. 12) and the conventional cell measures 18.225, 4.192 and 8.350 Å, with angles of 90.00, 103.14 and 90.00 degrees. The asymmetric unit holds Tb at (0.000, 0.000, 0.000), Tb at (0.167, 0.500, 0.334), Pu at (0.000, 0.000, 0.500), Th at (0.165, 0.500, 0.830), As at (0.002, 0.500, 0.251), As at (0.166, 0.000, 0.086) and As at (0.167, 0.000, 0.579).